## La2YTa (meta-GGA SCAN)

Data for a crystal of La2YTa relaxed with PBEsol.

- E_tot (eV per atom) = -44.812
- formation energy from the elements (eV per atom) = 0.347
- magnetic moment (μB per formula unit) = 0.00

Cell and atoms, written as CIF:
```
data_La2YTa
_cell_length_a 3.254
_cell_length_b 3.254
_cell_length_c 10.507
_cell_angle_alpha 90.00
_cell_angle_beta 90.00
_cell_angle_gamma 90.00
_symmetry_space_group_name_H-M 'P 1'
_symmetry_Int_Tables_number 1
_symmetry_space_group_name_Hall 'P 1'
loop_
_atom_site_label
_atom_site_type_symbol
_atom_site_fract_x
_atom_site_fract_y
_atom_site_fract_z
La1 La 0.000 0.000 0.996
La2 La 0.500 0.500 0.287
Ta1 Ta 0.000 0.000 0.507
Y1 Y 0.500 0.500 0.710
```


## LaYTa2 (meta-GGA SCAN)

Data for a crystal of LaYTa2 relaxed with PBEsol.

- E_tot (eV per atom) = -50.327
- formation energy from the elements (eV per atom) = 0.701
- magnetic moment (μB per formula unit) = 0.00

Cell and atoms, written as CIF:
```
data_LaYTa2
_cell_length_a 3.109
_cell_length_b 3.109
_cell_length_c 10.988
_cell_angle_alpha 81.87
_cell_angle_beta 81.87
_cell_angle_gamma 60.00
_symmetry_space_group_name_H-M 'P 1'
_symmetry_Int_Tables_number 1
_symmetry_space_group_name_Hall 'P 1'
loop_
_atom_site_label
_atom_site_type_symbol
_atom_site_fract_x
_atom_site_fract_y
_atom_site_fract_z
La1 La 0.000 0.000 0.000
Ta1 Ta 0.247 0.247 0.260
Ta2 Ta 0.753 0.753 0.740
Y1 Y 0.500 0.500 0.500
```


## LaY2Ta (meta-GGA SCAN)

Data for a crystal of LaY2Ta relaxed with PBEsol.

- E_tot (eV per atom) = -40.934
- formation energy from the elements (eV per atom) = 0.410
- magnetic moment (μB per formula unit) = 0.00

Cell and atoms, written as CIF:
```
data_LaY2Ta
_cell_length_a 3.268
_cell_length_b 4.773
_cell_length_c 6.747
_cell_angle_alpha 90.00
_cell_angle_beta 90.00
_cell_angle_gamma 90.00
_symmetry_space_group_name_H-M 'P 1'
_symmetry_Int_Tables_number 1
_symmetry_space_group_name_Hall 'P 1'
loop_
_atom_site_label
_atom_site_type_symbol
_atom_site_fract_x
_atom_site_fract_y
_atom_site_fract_z
La1 La 0.500 0.500 0.000
Ta1 Ta 0.500 0.500 0.500
Y1 Y 0.000 0.000 0.724
Y2 Y 0.000 0.000 0.276
```


## La2YTa (meta-GGA SCAN)

Data for a crystal of La2YTa relaxed with PBEsol.

- E_tot (eV per atom) = -44.687
- formation energy from the elements (eV per atom) = 0.472
- magnetic moment (μB per formula unit) = 0.00

Cell and atoms, written as CIF:
```
data_La2YTa
_cell_length_a 3.989
_cell_length_b 5.224
_cell_length_c 6.209
_cell_angle_alpha 114.88
_cell_angle_beta 108.74
_cell_angle_gamma 90.00
_symmetry_space_group_name_H-M 'P 1'
_symmetry_Int_Tables_number 1
_symmetry_space_group_name_Hall 'P 1'
loop_
_atom_site_label
_atom_site_type_symbol
_atom_site_fract_x
_atom_site_fract_y
_atom_site_fract_z
La1 La 0.999 0.999 0.998
La2 La 0.780 0.280 0.559
Ta1 Ta 0.499 0.499 0.997
Y1 Y 0.223 0.723 0.445
```


## LaYTa2 (meta-GGA SCAN)

Data for a crystal of LaYTa2 relaxed with PBEsol.

- E_tot (eV per atom) = -50.315
- formation energy from the elements (eV per atom) = 0.713
- magnetic moment (μB per formula unit) = 0.00

Cell and atoms, written as CIF:
```
data_LaYTa2
_cell_length_a 3.768
_cell_length_b 3.768
_cell_length_c 6.662
_cell_angle_alpha 90.00
_cell_angle_beta 90.00
_cell_angle_gamma 90.00
_symmetry_space_group_name_H-M 'P 1'
_symmetry_Int_Tables_number 1
_symmetry_space_group_name_Hall 'P 1'
loop_
_atom_site_label
_atom_site_type_symbol
_atom_site_fract_x
_atom_site_fract_y
_atom_site_fract_z
La1 La 0.500 0.500 0.500
Ta1 Ta 0.000 0.000 0.708
Ta2 Ta 0.000 0.000 0.292
Y1 Y 0.500 0.500 0.000
```


## LaYTa (meta-GGA SCAN)

Data for a crystal of LaYTa relaxed with PBEsol.

- E_tot (eV per atom) = -45.457
- formation energy from the elements (eV per atom) = 0.387
- magnetic moment (μB per formula unit) = 0.00

Cell and atoms, written as CIF:
```
data_LaYTa
_cell_length_a 3.182
_cell_length_b 3.182
_cell_length_c 8.103
_cell_angle_alpha 101.32
_cell_angle_beta 101.32
_cell_angle_gamma 90.00
_symmetry_space_group_name_H-M 'P 1'
_symmetry_Int_Tables_number 1
_symmetry_space_group_name_Hall 'P 1'
loop_
_atom_site_label
_atom_site_type_symbol
_atom_site_fract_x
_atom_site_fract_y
_atom_site_fract_z
La1 La 0.981 0.981 0.962
Ta1 Ta 0.329 0.329 0.658
Y1 Y 0.690 0.690 0.379
```